i.
VASP calculation (PBE) on AgSI2O after structural relaxation.

Values from the calculation:
Its total moment is 0.081 μB per atom. As for the space group: P4/mmm, No. 123. The calculation puts the theoretical density at 5347 kg/m3.

Unit cell a=5.650 b=5.650 c=3.987 alpha=90.00 beta=90.00 gamma=90.00
Each line ends with the local moment (μB).
Atoms (fractional coordinates):
I (0.500, 0.000, 0.000)  0.04
Ag (0.000, 0.000, 0.000)  0.01
O (0.000, 0.000, 0.500)  0.00
I (0.000, 0.500, 0.000)  0.04
S (0.500, 0.500, 0.500)  0.18

ii.
VASP calculation (PBE) on AgSI2O after structural relaxation.

Values from the calculation:
Its total moment is 0.000 μB per atom. As for the space group: P4/mmm, No. 123. The calculation puts the theoretical density at 5696 kg/m3.

Unit cell a=5.744 b=5.744 c=3.621 alpha=90.00 beta=90.00 gamma=90.00
Atoms (fractional coordinates):
S (0.000, 0.000, 0.000)
I (0.000, 0.500, 0.000)
O (0.000, 0.000, 0.500)
Ag (0.500, 0.500, 0.500)
I (0.500, 0.000, 0.000)

Which of them is the least stable? Correct choice: i.

i.
VASP calculation (PBE) on AgSb2IO after structural relaxation.

Values from the calculation:
Its total moment is 0.000 μB per atom. As for the space group: P4/mmm, No. 123. The calculation puts the theoretical density at 5211 kg/m3.

Unit cell a=5.371 b=5.371 c=5.460 alpha=90.00 beta=90.00 gamma=90.00
Atoms (fractional coordinates):
Sb (0.000, 0.500, 0.000)
Ag (0.000, 0.000, 0.000)
I (0.000, 0.000, 0.500)
Sb (0.500, 0.000, 0.000)
O (0.500, 0.500, 0.500)

ii.
VASP calculation (PBE) on AgSb2IO after structural relaxation.

Values from the calculation:
Its total moment is 0.000 μB per atom. As for the space group: P4/mmm, No. 123. The calculation puts the theoretical density at 5559 kg/m3.

Unit cell a=4.447 b=4.447 c=7.467 alpha=90.00 beta=90.00 gamma=90.00
Atoms (fractional coordinates):
Sb (0.500, 0.000, 0.000)
O (0.000, 0.000, 0.000)
Ag (0.500, 0.500, 0.500)
I (0.000, 0.000, 0.500)
Sb (0.000, 0.500, 0.000)

Which of them is the least stable? Correct choice: i.

i.
VASP calculation (PBE) on AgSeI2O after structural relaxation.

Values from the calculation:
Its total moment is 0.000 μB per atom. As for the space group: P4/mmm, No. 123. The calculation puts the theoretical density at 5858 kg/m3.

Unit cell a=5.688 b=5.688 c=4.001 alpha=90.00 beta=90.00 gamma=90.00
Atoms (fractional coordinates):
Se (0.500, 0.500, 0.500)
Ag (0.000, 0.000, 0.000)
O (0.000, 0.000, 0.500)
I (0.000, 0.500, 0.000)
I (0.500, 0.000, 0.000)

ii.
VASP calculation (PBE) on AgSeI2O after structural relaxation.

Values from the calculation:
Its total moment is 0.000 μB per atom. As for the space group: P4/mmm, No. 123. The calculation puts the theoretical density at 5684 kg/m3.

Unit cell a=5.907 b=5.907 c=3.823 alpha=90.00 beta=90.00 gamma=90.00
Atoms (fractional coordinates):
Se (0.000, 0.000, 0.000)
Ag (0.500, 0.500, 0.500)
O (0.000, 0.000, 0.500)
I (0.500, 0.000, 0.000)
I (0.000, 0.500, 0.000)

Which of them is the least stable? Correct choice: i.

i.
VASP calculation (PBE) on SiAgIO2 after structural relaxation.

Values from the calculation:
Its total moment is 0.000 μB per atom. As for the space group: P4/mmm, No. 123. The calculation puts the theoretical density at 5907 kg/m3.

Unit cell a=3.692 b=3.692 c=6.082 alpha=90.00 beta=90.00 gamma=90.00
Atoms (fractional coordinates):
I (0.000, 0.000, 0.500)
Si (0.000, 0.000, 0.000)
O (0.500, 0.000, 0.000)
O (0.000, 0.500, 0.000)
Ag (0.500, 0.500, 0.500)

ii.
VASP calculation (PBE) on SiAgIO2 after structural relaxation.

Values from the calculation:
Its total moment is 0.109 μB per atom. As for the space group: P4/mmm, No. 123. The calculation puts the theoretical density at 5054 kg/m3.

Unit cell a=4.170 b=4.170 c=5.572 alpha=90.00 beta=90.00 gamma=90.00
Each line ends with the local moment (μB).
Atoms (fractional coordinates):
O (0.000, 0.500, 0.000)  -0.28
O (0.500, 0.000, 0.000)  -0.28
I (0.000, 0.000, 0.500)  0.00
Ag (0.000, 0.000, 0.000)  -0.04
Si (0.500, 0.500, 0.500)  0.05

Which of them is the least stable? Correct choice: ii.

i.
VASP calculation (PBE) on TaAgI2O after structural relaxation.

Values from the calculation:
Its total moment is 0.621 μB per atom. As for the space group: P4/mmm, No. 123. The calculation puts the theoretical density at 7376 kg/m3.

Unit cell a=5.686 b=5.686 c=3.890 alpha=90.00 beta=90.00 gamma=90.00
Each line ends with the local moment (μB).
Atoms (fractional coordinates):
I (0.500, 0.000, 0.000)  -0.06
O (0.000, 0.000, 0.500)  0.16
I (0.000, 0.500, 0.000)  -0.06
Ta (0.500, 0.500, 0.500)  1.95
Ag (0.000, 0.000, 0.000)  0.06

ii.
VASP calculation (PBE) on TaAgI2O after structural relaxation.

Values from the calculation:
Its total moment is 0.292 μB per atom. As for the space group: P4/mmm, No. 123. The calculation puts the theoretical density at 7109 kg/m3.

Unit cell a=5.789 b=5.789 c=3.893 alpha=90.00 beta=90.00 gamma=90.00
Each line ends with the local moment (μB).
Atoms (fractional coordinates):
O (0.000, 0.000, 0.500)  -0.05
Ag (0.500, 0.500, 0.500)  0.02
Ta (0.000, 0.000, 0.000)  1.01
I (0.500, 0.000, 0.000)  0.01
I (0.000, 0.500, 0.000)  0.01

Which of them is the least stable? Correct choice: i.

i.
VASP calculation (PBE) on TcAgIO2 after structural relaxation.

Values from the calculation:
Its total moment is 0.000 μB per atom. As for the space group: P4/mmm, No. 123. The calculation puts the theoretical density at 6641 kg/m3.

Unit cell a=3.896 b=3.896 c=6.008 alpha=90.00 beta=90.00 gamma=90.00
Atoms (fractional coordinates):
I (0.000, 0.000, 0.500)
Ag (0.500, 0.500, 0.500)
O (0.000, 0.500, 0.000)
Tc (0.000, 0.000, 0.000)
O (0.500, 0.000, 0.000)

ii.
VASP calculation (PBE) on TcAgIO2 after structural relaxation.

Values from the calculation:
Its total moment is 0.999 μB per atom. As for the space group: P4/mmm, No. 123. The calculation puts the theoretical density at 5994 kg/m3.

Unit cell a=4.075 b=4.075 c=6.086 alpha=90.00 beta=90.00 gamma=90.00
Each line ends with the local moment (μB).
Atoms (fractional coordinates):
I (0.000, 0.000, 0.500)  0.07
Tc (0.500, 0.500, 0.500)  3.34
O (0.000, 0.500, 0.000)  0.42
O (0.500, 0.000, 0.000)  0.42
Ag (0.000, 0.000, 0.000)  0.08

Which of them is the least stable? Correct choice: ii.